No. 1
! Ce2ErTh7 (PBE, relaxed); values from VASP
! **DFT total energy**: -68.1 eV per formula unit
&SYSTEM
  ibrav = 0, nat = 10, ntyp = 3
/
ATOMIC_SPECIES
Ce 140.12 Ce.upf
Er 167.26 Er.upf
Th 232.04 Th.upf
CELL_PARAMETERS angstrom
9.024 -2.489 0.000
9.024 2.489 0.000
-1.431 0.000 6.926
ATOMIC_POSITIONS crystal
Ce 0.199 0.199 0.100
Ce 0.801 0.801 0.900
Er 0.000 0.000 0.500
Th 0.000 0.000 0.000
Th 0.200 0.200 0.602
Th 0.398 0.398 0.198
Th 0.399 0.399 0.699
Th 0.601 0.601 0.301
Th 0.602 0.602 0.802
Th 0.800 0.800 0.398

No. 2
! Ce2Er6Th (PBE, relaxed); values from VASP
! **DFT total energy**: -45.3 eV per formula unit
&SYSTEM
  ibrav = 0, nat = 9, ntyp = 3
/
ATOMIC_SPECIES
Ce 140.12 Ce.upf
Er 167.26 Er.upf
Th 232.04 Th.upf
CELL_PARAMETERS angstrom
4.541 -8.699 0.000
4.541 8.699 0.000
-0.581 0.000 3.491
ATOMIC_POSITIONS crystal
Ce 0.165 0.835 0.000
Ce 0.835 0.165 0.000
Er 0.167 0.501 0.666
Er 0.335 0.335 0.165
Er 0.499 0.833 0.334
Er 0.501 0.167 0.666
Er 0.665 0.665 0.835
Er 0.833 0.499 0.334
Th 0.000 0.000 0.500

No. 3
! CeEr3Th3 (PBE, relaxed); values from VASP
! **DFT total energy**: -39.6 eV per formula unit
&SYSTEM
  ibrav = 0, nat = 14, ntyp = 3
/
ATOMIC_SPECIES
Ce 140.12 Ce.upf
Er 167.26 Er.upf
Th 232.04 Th.upf
CELL_PARAMETERS angstrom
4.347 2.510 7.145
-4.347 2.510 7.145
0.000 -5.019 7.145
ATOMIC_POSITIONS crystal
Ce 0.139 0.139 0.139
Ce 0.861 0.861 0.861
Er 0.067 0.243 0.553
Er 0.243 0.553 0.067
Er 0.447 0.933 0.757
Er 0.553 0.067 0.243
Er 0.757 0.447 0.933
Er 0.933 0.757 0.447
Th 0.208 0.426 0.705
Th 0.295 0.792 0.574
Th 0.426 0.705 0.208
Th 0.574 0.295 0.792
Th 0.705 0.208 0.426
Th 0.792 0.574 0.295

No. 4
! CeEr2Th (PBE, relaxed); values from VASP
! **Energy above the lowest structure with this stoichiometry**: 0.020 eV/atom
! **DFT total energy**: -22.2 eV per formula unit
&SYSTEM
  ibrav = 0, nat = 4, ntyp = 3
/
ATOMIC_SPECIES
Ce 140.12 Ce.upf
Er 167.26 Er.upf
Th 232.04 Th.upf
CELL_PARAMETERS angstrom
1.755 1.013 11.511
-1.755 1.013 11.511
0.000 -2.026 11.511
ATOMIC_POSITIONS crystal
Ce 0.000 0.000 0.000
Er 0.415 0.415 0.415
Er 0.585 0.585 0.585
Th 0.834 0.834 0.834

No. 5
! CeEr2Th (PBE, relaxed); values from VASP
! **Energy above the lowest structure with this stoichiometry**: 0.019 eV/atom
! **DFT total energy**: -22.2 eV per formula unit
&SYSTEM
  ibrav = 0, nat = 4, ntyp = 3
/
ATOMIC_SPECIES
Ce 140.12 Ce.upf
Er 167.26 Er.upf
Th 232.04 Th.upf
CELL_PARAMETERS angstrom
3.516 0.000 0.000
0.000 3.516 0.000
0.000 0.000 10.017
ATOMIC_POSITIONS crystal
Ce 0.000 0.000 0.000
Er 0.500 0.500 0.251
Er 0.500 0.500 0.749
Th 0.000 0.000 0.500

No. 6
! CeErTh6 (PBE, relaxed); values from VASP
! **Energy above the lowest structure with this stoichiometry**: 0.080 eV/atom
! **DFT total energy**: -54.1 eV per formula unit
&SYSTEM
  ibrav = 0, nat = 8, ntyp = 3
/
ATOMIC_SPECIES
Ce 140.12 Ce.upf
Er 167.26 Er.upf
Th 232.04 Th.upf
CELL_PARAMETERS angstrom
-2.989 2.989 7.068
2.989 -2.989 7.068
2.989 2.989 -7.068
ATOMIC_POSITIONS crystal
Ce 0.000 0.000 0.000
Er 0.500 0.500 0.000
Th 0.125 0.625 0.500
Th 0.245 0.245 0.000
Th 0.375 0.875 0.500
Th 0.625 0.125 0.500
Th 0.755 0.755 0.000
Th 0.875 0.375 0.500

No. 7
! Ce2Er3Th2 (PBE, relaxed); values from VASP
! **DFT total energy**: -40.0 eV per formula unit
&SYSTEM
  ibrav = 0, nat = 7, ntyp = 3
/
ATOMIC_SPECIES
Ce 140.12 Ce.upf
Er 167.26 Er.upf
Th 232.04 Th.upf
CELL_PARAMETERS angstrom
2.562 -11.931 0.000
2.562 11.931 0.000
0.000 0.000 3.458
ATOMIC_POSITIONS crystal
Ce 0.220 0.780 0.000
Ce 0.780 0.220 0.000
Er 0.073 0.927 0.000
Er 0.500 0.500 0.500
Er 0.927 0.073 0.000
Th 0.354 0.646 0.500
Th 0.646 0.354 0.500

No. 8
! CeErTh (PBE, relaxed); values from VASP
! **Energy above the lowest structure with this stoichiometry**: 0.042 eV/atom
! **DFT total energy**: -17.7 eV per formula unit
&SYSTEM
  ibrav = 0, nat = 6, ntyp = 3
/
ATOMIC_SPECIES
Ce 140.12 Ce.upf
Er 167.26 Er.upf
Th 232.04 Th.upf
CELL_PARAMETERS angstrom
15.174 -1.731 0.000
15.174 1.731 0.000
-0.002 0.000 3.482
ATOMIC_POSITIONS crystal
Ce 0.211 0.211 0.248
Ce 0.789 0.789 0.752
Er 0.049 0.049 0.249
Er 0.951 0.951 0.751
Th 0.369 0.369 0.252
Th 0.631 0.631 0.748